Material: AcLaH6Pt2
Method: DFT, GGA-PBE
State: optimized geometry

Summary:
- Total energy: -4.706 eV per atom
- V: 272.6 Å³/cell

Cell: 6.604 6.604 7.454 Å, 112.48 112.48 90.89°
Element x y z (fractional)
Ac 0.127 0.873 0.750
Ac 0.873 0.127 0.250
La 0.369 0.631 0.250
La 0.631 0.369 0.750
H 0.020 0.573 0.885
H 0.173 0.221 0.107
H 0.221 0.173 0.607
H 0.379 0.591 0.901
H 0.409 0.621 0.599
H 0.427 0.980 0.615
H 0.573 0.020 0.385
H 0.591 0.379 0.401
H 0.621 0.409 0.099
H 0.779 0.827 0.393
H 0.827 0.779 0.893
H 0.980 0.427 0.115
Pt 0.130 0.382 0.750
Pt 0.382 0.130 0.250
Pt 0.618 0.870 0.750
Pt 0.870 0.618 0.250